# PBE with a Hubbard U CoPdSO, relaxed
# Polymorph energy (0 for the lowest one)   0.702 eV/f.u.
# Volume   226 Å³/cell
# Density   6.26 g cm⁻³
# Final energy   -81.342 eV/cell
data_CoPdSO
_chemical_formula_sum 'Co4 Pd4 S4 O4'
_space_group_name_H-M_alt 'C m c 21'
_space_group_IT_number 36
_space_group_name_Hall 'C 2c -2'
_cell_length_a 3.045
_cell_length_b 12.769
_cell_length_c 5.822
_cell_angle_alpha 90.00
_cell_angle_beta 90.00
_cell_angle_gamma 90.00
loop_
_atom_site_label
_atom_site_type_symbol
_atom_site_fract_x
_atom_site_fract_y
_atom_site_fract_z
Co1 Co 0.000 0.192 0.000
Pd1 Pd 0.000 0.477 0.103
S1 S 0.000 0.165 0.415
O1 O 0.000 0.392 0.400